(1)
{"formula": "Rb2GaRh", "functional": "GGA-PBE", "state": "relaxed", "lattice_angstrom": [[-6.276, 6.276, 2.379], [6.276, -6.276, 2.379], [6.276, 6.276, -2.379]], "species": ["Rb", "Rb", "Rb", "Rb", "Ga", "Ga", "Rh", "Rh"], "frac_coords": [[0.375, 0.190, 0.315], [0.810, 0.125, 0.185], [0.875, 0.060, 0.685], [0.940, 0.625, 0.815], [0.250, 0.750, 0.500], [0.500, 0.500, 0.000], [0.000, 0.000, 0.000], [0.750, 0.250, 0.500]], "ef_kj_per_mol_fu": 64, "energy_ev_per_atom": -2.912}

(2)
{"formula": "AcGePd", "functional": "GGA-PBE", "state": "relaxed", "lattice_angstrom": [[0.000, 3.430, 3.430], [3.430, 0.000, 3.430], [3.430, 3.430, 0.000]], "species": ["Ac", "Ge", "Pd"], "frac_coords": [[0.000, 0.000, 0.000], [0.500, 0.500, 0.500], [0.250, 0.250, 0.250]], "ef_kj_per_mol_fu": -176, "e_above_lowest_polymorph_ev_per_atom": 0.280, "energy_ev_per_atom": -5.248}